# Co3Ag | OQMD | PBE | optimized geometry
data_Co3Ag
_cell_length_a 5.8678
_cell_length_b 5.8678
_cell_length_c 5.8678
_cell_angle_alpha 90.00
_cell_angle_beta 90.00
_cell_angle_gamma 90.00
_symmetry_space_group_name_H-M 'F m -3 m'
_symmetry_Int_Tables_number 225
_symmetry_space_group_name_Hall '-F 4 2 3'
loop_
_atom_site_label
_atom_site_fract_x
_atom_site_fract_y
_atom_site_fract_z
Co1 0.0000 0.0000 0.0000
Co2 0.2500 0.2500 0.2500
Ag1 0.0000 0.0000 0.5000
# ΔE_f	0.670	eV per atom
# magnetization	0.1187	μB/atom